P.
YB2F | GGA-PBE | relaxed

Structure (POSCAR):
```
YB2F
1.0
6.045 0.000 0.000
0.000 6.045 0.000
0.000 0.000 6.045
Y B F
4 8 4
direct
0.000 0.000 0.000
0.000 0.500 0.500
0.500 0.000 0.500
0.500 0.500 0.000
0.250 0.250 0.250
0.250 0.250 0.750
0.250 0.750 0.250
0.250 0.750 0.750
0.750 0.250 0.250
0.750 0.250 0.750
0.750 0.750 0.250
0.750 0.750 0.750
0.000 0.000 0.500
0.000 0.500 0.000
0.500 0.000 0.000
0.500 0.500 0.500
```

Computed properties:
volume = 13.81 Å³ per atom
spin magnetization = 0.000 Bohr magnetons per cell
space group = Fm-3m
DOS at the Fermi energy = 0.574 states/eV/atom

Q.
YB2F | GGA-PBE | relaxed

Structure (POSCAR):
```
YB2F
1.0
3.253 0.000 0.000
0.000 3.253 0.000
0.000 0.000 20.315
Y B F
4 8 4
direct
0.000 0.250 0.375
0.000 0.750 0.625
0.500 0.250 0.125
0.500 0.750 0.875
0.000 0.000 0.000
0.000 0.500 0.000
0.250 0.250 0.750
0.250 0.750 0.250
0.500 0.000 0.500
0.500 0.500 0.500
0.750 0.250 0.750
0.750 0.750 0.250
0.000 0.250 0.875
0.000 0.750 0.125
0.500 0.250 0.625
0.500 0.750 0.375
```

Computed properties:
volume = 13.43 Å³ per atom
spin magnetization = 0.000 Bohr magnetons per cell
space group = I4_1/amd
DOS at the Fermi energy = 0.364 states/eV/atom

Last place for stability: P

P.
ZnB3F | GGA-PBE | relaxed

Structure (POSCAR):
```
ZnB3F
1.0
4.039 0.000 0.000
0.000 4.039 0.000
0.000 0.000 4.039
Zn B F
1 3 1
direct
0.000 0.000 0.000
0.000 0.000 0.500
0.000 0.500 0.000
0.500 0.000 0.000
0.500 0.500 0.500
```

Computed properties:
volume = 13.18 Å³ per atom
spin magnetization = 0.000 Bohr magnetons per cell
space group = Pm-3m
DOS at the Fermi energy = 0.308 states/eV/atom

Q.
ZnB3F | GGA-PBE | relaxed

Structure (POSCAR):
```
ZnB3F
1.0
3.877 0.000 0.000
0.000 3.877 0.000
0.000 0.000 3.877
Zn B F
1 3 1
direct
0.000 0.000 0.000
0.000 0.500 0.500
0.500 0.000 0.500
0.500 0.500 0.000
0.500 0.500 0.500
```

Computed properties:
volume = 11.65 Å³ per atom
spin magnetization = 0.000 Bohr magnetons per cell
space group = Pm-3m
DOS at the Fermi energy = 0.608 states/eV/atom

Last place for stability: Q

P.
ZnBF3 | GGA-PBE | relaxed

Structure (POSCAR):
```
ZnBF3
1.0
3.783 0.000 0.000
0.000 3.783 0.000
0.000 0.000 3.783
Zn B F
1 1 3
direct
0.000 0.000 0.000
0.500 0.500 0.500
0.000 0.500 0.500
0.500 0.000 0.500
0.500 0.500 0.000
```

Computed properties:
volume = 10.83 Å³ per atom
spin magnetization = 0.491 Bohr magnetons per cell
space group = Pm-3m
DOS at the Fermi energy = 0.503 states/eV/atom

Q.
ZnBF3 | GGA-PBE | relaxed

Structure (POSCAR):
```
ZnBF3
1.0
4.035 0.000 0.000
0.000 4.035 0.000
0.000 0.000 4.035
Zn B F
1 1 3
direct
0.000 0.000 0.000
0.500 0.500 0.500
0.000 0.000 0.500
0.000 0.500 0.000
0.500 0.000 0.000
```

Computed properties:
volume = 13.14 Å³ per atom
spin magnetization = 0.000 Bohr magnetons per cell
space group = Pm-3m
DOS at the Fermi energy = 0.000 states/eV/atom

Last place for stability: P